Entry 1:
DFT (PBE-GGA) results for crystalline AcAlGa4Cu2 at its relaxed geometry.

Properties
Crystal system: trigonal
E: -3.709 eV/atom

Unit cell a=9.6004 b=9.6004 c=9.6004 alpha=26.36 beta=26.36 gamma=26.36
Positions (direct):
1 Ac 0.0000 0.0000 0.0000
2 Al 0.5000 0.5000 0.5000
3 Ga 0.1270 0.1270 0.1270
4 Ga 0.4053 0.4053 0.4053
5 Ga 0.5947 0.5947 0.5947
6 Ga 0.8730 0.8730 0.8730
7 Cu 0.2336 0.2336 0.2336
8 Cu 0.7664 0.7664 0.7664

***

Entry 2:
DFT (PBE-GGA) results for crystalline Nb2RhW at its relaxed geometry.

Properties
Crystal system: tetragonal
E: -10.313 eV/atom

Unit cell a=3.2440 b=3.2440 c=6.3710 alpha=90.00 beta=90.00 gamma=90.00
Positions (direct):
1 Nb 0.0000 0.0000 0.2452
2 Nb 0.0000 0.0000 0.7548
3 Rh 0.5000 0.5000 0.5000
4 W 0.5000 0.5000 0.0000

***

Entry 3:
DFT (PBE-GGA) results for crystalline CePm8Er3 at its relaxed geometry.

Properties
Crystal system: orthorhombic
E: -4.444 eV/atom

Unit cell a=8.6989 b=8.6989 c=8.6989 alpha=135.42 beta=100.05 gamma=96.50
Positions (direct):
1 Ce 0.0000 0.0000 0.0000
2 Pm 0.0870 0.2512 0.8379
3 Pm 0.2348 0.2371 0.4976
4 Pm 0.2605 0.7629 0.9977
5 Pm 0.4133 0.2491 0.1621
6 Pm 0.5867 0.7488 0.8358
7 Pm 0.7395 0.7372 0.5024
8 Pm 0.7652 0.2628 0.0023
9 Pm 0.9130 0.7509 0.1642
10 Er 0.2442 0.7442 0.5000
11 Er 0.5000 0.5000 0.0000
12 Er 0.7558 0.2558 0.5000

***

Entry 4:
DFT (PBE-GGA) results for crystalline Be2NiCl at its relaxed geometry.

Properties
Formation energy from raw total energies: 0.39 eV per atom
Energy relative to the lowest polymorph listed for this composition: 0.525 eV/atom
Crystal system: tetragonal
E: -3.377 eV/atom

Unit cell a=4.1164 b=4.1164 c=2.7210 alpha=90.00 beta=90.00 gamma=90.00
Positions (direct):
1 Be 0.0000 0.5000 0.0000
2 Be 0.5000 0.0000 0.0000
3 Ni 0.0000 0.0000 0.5000
4 Cl 0.5000 0.5000 0.5000

***

Entry 5:
DFT (PBE-GGA) results for crystalline TbYTmHg at its relaxed geometry.

Properties
Crystal system: cubic
E: -4.030 eV/atom

Unit cell a=5.3949 b=5.3949 c=5.3949 alpha=60.00 beta=60.00 gamma=60.00
Positions (direct):
1 Tb 0.0000 0.0000 0.0000
2 Y 0.5000 0.5000 0.5000
3 Tm 0.7500 0.7500 0.7500
4 Hg 0.2500 0.2500 0.2500

***

Entry 6:
DFT (PBE-GGA) results for crystalline HfS at its relaxed geometry.

Properties
Formation energy from raw total energies: -1.20 eV per atom
Crystal system: tetragonal
E: -8.236 eV/atom

Unit cell a=7.2282 b=7.2282 c=7.2282 alpha=93.42 beta=93.42 gamma=151.74
Positions (direct):
1 Hf 0.1151 0.6612 0.7763
2 Hf 0.3388 0.1151 0.4539
3 Hf 0.6612 0.8849 0.5461
4 Hf 0.8849 0.3388 0.2237
5 S 0.1022 0.2099 0.3122
6 S 0.2099 0.8978 0.1077
7 S 0.7901 0.1022 0.8923
8 S 0.8978 0.7901 0.6878

***

Entry 7:
DFT (PBE-GGA) results for crystalline Tm3GaGe3 at its relaxed geometry.

Properties
Crystal system: hexagonal
E: -4.874 eV/atom

Unit cell a=8.4110 b=8.4110 c=5.8062 alpha=90.00 beta=90.00 gamma=120.00
Positions (direct):
1 Tm 0.0550 0.6910 0.2500
2 Tm 0.3090 0.3640 0.2500
3 Tm 0.3640 0.0550 0.7500
4 Tm 0.6360 0.9450 0.2500
5 Tm 0.6910 0.6360 0.7500
6 Tm 0.9450 0.3090 0.7500
7 Ga 0.3333 0.6667 0.7500
8 Ga 0.6667 0.3333 0.2500
9 Ge 0.0518 0.6945 0.7500
10 Ge 0.3055 0.3573 0.7500
11 Ge 0.3573 0.0518 0.2500
12 Ge 0.6427 0.9482 0.7500
13 Ge 0.6945 0.6427 0.2500
14 Ge 0.9482 0.3055 0.2500

***

Entry 8:
DFT (PBE-GGA) results for crystalline Pr4HoCd3 at its relaxed geometry.

Properties
Crystal system: orthorhombic
E: -3.501 eV/atom

Unit cell a=3.8146 b=5.6018 c=11.3127 alpha=90.00 beta=90.00 gamma=90.00
Positions (direct):
1 Pr 0.0000 0.0000 0.0000
2 Pr 0.0000 0.0000 0.5000
3 Pr 0.0000 0.5000 0.2390
4 Pr 0.0000 0.5000 0.7610
5 Ho 0.5000 0.5000 0.5000
6 Cd 0.5000 0.0000 0.2541
7 Cd 0.5000 0.0000 0.7459
8 Cd 0.5000 0.5000 0.0000

***

Calculated M_tot in order - 0.0000; 0.0000; 0.1062; 0.0000; 0.0828; 0.0000; 0.0000; 0.0063 μB/atom